SrTiVF2: relaxed, PBE+U.

## Properties
Density of states at the Fermi level ... 0.936 states/eV per atom
Total magnetization ... 1.396 μB/atom
Total DFT energy (no corrections) ... -4.81 eV per atom

Structure (CIF):
```
data_SrTiVF2
_chemical_formula_sum 'Sr1 Ti1 V1 F2'
_symmetry_space_group_name_H-M 'P 1'
_symmetry_Int_Tables_number 1
_symmetry_space_group_name_Hall 'P 1'
_cell_length_a 4.1554
_cell_length_b 4.1554
_cell_length_c 7.5304
_cell_angle_alpha 90.00
_cell_angle_beta 90.00
_cell_angle_gamma 90.00
loop_
_atom_site_label
_atom_site_fract_x
_atom_site_fract_y
_atom_site_fract_z
Sr1 0.0000 0.0000 0.0000
Ti1 0.0000 0.0000 0.5000
V1 0.5000 0.5000 0.0000
F1 0.0000 0.5000 0.5000
F2 0.5000 0.0000 0.5000
```